No. 1
## KReS2Cl (PBE)

Data for a geometry-optimized KReS2Cl structure.

## Properties
space group	P4/mmm (123)
excess energy over the best structure of this formula in the dataset	0.0	kJ per mole of atoms
ΔE_f (raw)	-0.52	eV/atom

abc: 4.5917 4.5917 5.3711
angles: 90.00 90.00 90.00
Last column: nearest neighbours and their distance in Å.
Sites, in units of the cell vectors:
Cl (0.0000, 0.0000, 0.5000)  2 Re 2.69
S (0.0000, 0.5000, 0.0000)  2 Re 2.30
S (0.5000, 0.0000, 0.0000)  2 Re 2.30
K (0.5000, 0.5000, 0.5000)  4 Cl 3.25, 8 S 3.53
Re (0.0000, 0.0000, 0.0000)  4 S 2.30

---

No. 2
## LiLaOsPt2 (PBE)

Data for a geometry-optimized LiLaOsPt2 structure.

## Properties
space group	P4/mmm (123)
energy	-4.6802	eV/atom

abc: 5.3061 4.9651 5.3061
angles: 90.00 90.00 90.00
Last column: nearest neighbours and their distance in Å.
Sites, in units of the cell vectors:
Pt (0.5000, 0.0000, 0.0000)  2 La 2.65
Pt (0.0000, 0.0000, 0.5000)  2 La 2.65
Os (0.0000, 0.5000, 0.0000)  2 La 2.48
Li (0.5000, 0.5000, 0.5000)  8 Pt 3.63, 4 Os 3.75
La (0.0000, 0.0000, 0.0000)  2 Os 2.48, 4 Pt 2.65

---

No. 3
## CaErAl2Ag5 (PBE)

Data for a geometry-optimized CaErAl2Ag5 structure.

## Properties
space group	P4/mmm (123)
energy	-3.3456	eV/atom

abc: 4.5101 4.5101 9.0929
angles: 90.00 90.00 90.00
Last column: nearest neighbours and their distance in Å.
Sites, in units of the cell vectors:
Ag (0.0000, 0.5000, 0.2733)  2 Al 2.57
Ag (0.0000, 0.5000, 0.7267)  2 Al 2.57
Ag (0.5000, 0.0000, 0.7267)  2 Al 2.57
Ag (0.5000, 0.0000, 0.2733)  2 Al 2.57
Ag (0.5000, 0.5000, 0.5000)  8 Ag 3.06, 4 Ca 3.19, 2 Al 3.30
Er (0.0000, 0.0000, 0.0000)  8 Ag 3.36, 8 Al 3.42
Ca (0.0000, 0.0000, 0.5000)  12 Ag 3.06-3.19
Al (0.5000, 0.5000, 0.1373)  1 Al 2.50, 4 Ag 2.57
Al (0.5000, 0.5000, 0.8627)  1 Al 2.50, 4 Ag 2.57

---

No. 4
## ScMo3As (PBE)

Data for a geometry-optimized ScMo3As structure.

## Properties
space group	Pm-3m (221)
excess energy over the best structure of this formula in the dataset	120.1	kJ per mole of atoms

abc: 4.6549 4.6549 4.6549
angles: 90.00 90.00 90.00
Last column: nearest neighbours and their distance in Å.
Sites, in units of the cell vectors:
Mo (0.5000, 0.0000, 0.0000)  2 Sc 2.33
Mo (0.0000, 0.0000, 0.5000)  2 Sc 2.33
Mo (0.0000, 0.5000, 0.0000)  2 Sc 2.33
Sc (0.0000, 0.0000, 0.0000)  6 Mo 2.33
As (0.5000, 0.5000, 0.5000)  12 Mo 3.29

---

No. 5
## Pd2CSI (PBE)

Data for a geometry-optimized Pd2CSI structure.

## Properties
space group	P4/mmm (123)
ΔE_f (raw)	0.91	eV/atom

abc: 4.4734 4.1723 4.4734
angles: 90.00 90.00 90.00
Last column: nearest neighbours and their distance in Å.
Sites, in units of the cell vectors:
I (0.5000, 0.5000, 0.5000)  8 Pd 3.06, 4 S 3.16
S (0.0000, 0.5000, 0.0000)  2 C 2.09
C (0.0000, 0.0000, 0.0000)  2 S 2.09, 4 Pd 2.24
Pd (0.5000, 0.0000, 0.0000)  2 C 2.24
Pd (0.0000, 0.0000, 0.5000)  2 C 2.24

---

No. 6
## Np2O5F2 (PBE)

Data for a geometry-optimized Np2O5F2 structure.

## Properties
space group	C2/m (12)
ΔE_f (raw)	-2.72	eV/atom

abc: 4.5958 5.3682 7.2353
angles: 102.02 90.00 115.34
Last column: nearest neighbours and their distance in Å.
Sites, in units of the cell vectors:
O (0.7272, 0.4544, 0.0804)  1 Np 2.00
O (0.8484, 0.6969, 0.6176)  1 Np 1.79
O (0.0000, 0.0000, 0.0000)  2 Np 2.08
O (0.1516, 0.3031, 0.3824)  1 Np 1.79
O (0.2728, 0.5456, 0.9196)  1 Np 2.00
F (0.5847, 0.1694, 0.7000)  1 Np 2.04
F (0.4153, 0.8306, 0.3000)  1 Np 2.04
Np (0.7932, 0.5864, 0.8378)  2 O 1.79-2.00
Np (0.2068, 0.4136, 0.1621)  2 O 1.79-2.00

---

No. 7
## Rb2Pu3CuO12 (PBE)

Data for a geometry-optimized Rb2Pu3CuO12 structure.

## Properties
space group	R-3m (166)
ΔE_f (raw)	-2.12	eV/atom

abc: 7.3919 7.3919 7.3919
angles: 64.24 64.24 64.24
Last column: nearest neighbours and their distance in Å.
Sites, in units of the cell vectors:
O (0.9350, 0.3208, 0.9350)  1 Pu 1.88, 1 Cu 2.07
O (0.6792, 0.0682, 0.6792)  2 Pu 2.11
O (0.9350, 0.9350, 0.3208)  1 Pu 1.88, 1 Cu 2.07
O (0.0650, 0.0650, 0.6792)  1 Pu 1.88, 1 Cu 2.07
O (0.3208, 0.3208, 0.9318)  2 Pu 2.11
O (0.6792, 0.0650, 0.0650)  1 Pu 1.88, 1 Cu 2.07
O (0.6792, 0.6792, 0.0682)  2 Pu 2.11
O (0.3208, 0.9318, 0.3208)  2 Pu 2.11
O (0.3208, 0.9350, 0.9350)  1 Pu 1.88, 1 Cu 2.07
O (0.0682, 0.6792, 0.6792)  2 Pu 2.11
O (0.9318, 0.3208, 0.3208)  2 Pu 2.11
O (0.0650, 0.6792, 0.0650)  1 Pu 1.88, 1 Cu 2.07
Pu (0.0000, 0.0000, 0.5000)  2 O 1.88
Pu (0.5000, 0.0000, 0.0000)  2 O 1.88
Pu (0.0000, 0.5000, 0.0000)  2 O 1.88
Cu (0.0000, 0.0000, 0.0000)  6 O 2.07
Rb (0.6249, 0.6249, 0.6249)  9 O 3.28-3.67
Rb (0.3751, 0.3751, 0.3751)  9 O 3.28-3.67

---

No. 8
## Cs2NbHgI6 (PBE)

Data for a geometry-optimized Cs2NbHgI6 structure.

## Properties
space group	Fm-3m (225)
excess energy over the best structure of this formula in the dataset	2.1	kJ per mole of atoms
ΔE_f (raw)	-0.81	eV/atom

abc: 8.9169 8.9169 8.9161
angles: 60.00 60.00 90.00
Last column: nearest neighbours and their distance in Å.
Sites, in units of the cell vectors:
I (0.2759, 0.7241, 0.0000)  1 Nb 2.83
I (0.7241, 0.7241, 0.5518)  1 Nb 2.83
I (0.2759, 0.2759, 0.0000)  1 Nb 2.83
I (0.7241, 0.7241, 0.0000)  1 Nb 2.83
I (0.2759, 0.2759, 0.4482)  1 Nb 2.83
I (0.7241, 0.2759, 0.0000)  1 Nb 2.83
Hg (0.0000, 0.0000, 0.0000)  6 I 3.48
Cs (0.7500, 0.2500, 0.5000)  12 I 4.47
Cs (0.2500, 0.7500, 0.5000)  12 I 4.47
Nb (0.5000, 0.5000, 0.0000)  6 I 2.83

---

No. 9
## Ba2PmTl (PBE)

Data for a geometry-optimized Ba2PmTl structure.

## Properties
space group	R-3m (166)
excess energy over the best structure of this formula in the dataset	19.0	kJ per mole of atoms

abc: 3.9517 3.9517 13.1920
angles: 81.39 81.39 60.00
Last column: nearest neighbours and their distance in Å.
Sites, in units of the cell vectors:
Tl (0.5000, 0.5000, 0.5000)  6 Ba 3.58, 6 Tl 3.95
Pm (0.0000, 0.0000, 0.0000)  2 Ba 3.73, 6 Pm 3.95
Ba (0.9042, 0.9042, 0.2874)  3 Tl 3.58, 1 Pm 3.73, 6 Ba 3.95
Ba (0.0958, 0.0958, 0.7126)  3 Tl 3.58, 1 Pm 3.73, 6 Ba 3.95

---

No. 10
## Pr2Nd2SmEr (PBE)

Data for a geometry-optimized Pr2Nd2SmEr structure.

## Properties
space group	Pmma (51)
energy	-4.6734	eV/atom

abc: 5.7749 7.1318 9.9845
angles: 90.00 90.00 90.00
Last column: nearest neighbours and their distance in Å.
Sites, in units of the cell vectors:
Sm (0.5000, 0.7576, 0.3406)  5 Nd 3.26-3.57
Sm (0.5000, 0.2576, 0.6594)  5 Nd 3.26-3.57
Nd (0.5000, 0.7576, 0.6672)  3 Sm 3.26-3.57, 2 Pr 3.29
Nd (0.5000, 0.2576, 0.3328)  3 Sm 3.26-3.57, 2 Pr 3.29
Nd (0.0000, 0.2576, 0.8348)  2 Sm 3.38, 7 Pr 3.40-3.77
Nd (0.0000, 0.7576, 0.1652)  2 Sm 3.38, 7 Pr 3.40-3.77
Pr (0.0000, 0.2576, 0.1757)  5 Nd 3.29-3.57
Pr (0.0000, 0.7576, 0.8243)  5 Nd 3.29-3.57
Pr (0.5000, 0.5076, 0.0000)  6 Pr 3.57-3.82, 6 Nd 3.77, 2 Sm 3.84
Pr (0.5000, 0.0076, 0.0000)  6 Pr 3.57-3.82, 6 Nd 3.77, 2 Sm 3.84
Er (0.0000, 0.0076, 0.5000)  2 Er 3.57, 2 Pr 3.70, 4 Sm 3.75, 6 Nd 3.78-3.79
Er (0.0000, 0.5076, 0.5000)  2 Er 3.57, 2 Pr 3.70, 4 Sm 3.75, 6 Nd 3.78-3.79

---

No. 11
## Na2SIBr (PBE)

Data for a geometry-optimized Na2SIBr structure.

## Properties
space group	P4/mmm (123)
ΔE_f (raw)	-0.73	eV/atom

abc: 5.6526 4.8920 5.6526
angles: 90.00 90.00 90.00
Last column: nearest neighbours and their distance in Å.
Sites, in units of the cell vectors:
I (0.5000, 0.5000, 0.5000)  8 Na 3.74, 4 Br 4.00
Na (0.0000, 0.0000, 0.5000)  2 S 2.83
Na (0.5000, 0.0000, 0.0000)  2 S 2.83
S (0.0000, 0.0000, 0.0000)  2 Br 2.45
Br (0.0000, 0.5000, 0.0000)  2 S 2.45

---

No. 12
## CsZn2ReAu (PBE)

Data for a geometry-optimized CsZn2ReAu structure.

## Properties
space group	P4/mmm (123)
energy	-1.6655	eV/atom

abc: 6.8552 7.2848 6.8552
angles: 90.00 90.00 90.00
Last column: nearest neighbours and their distance in Å.
Sites, in units of the cell vectors:
Cs (0.0000, 0.0000, 0.0000)  4 Zn 3.43, 2 Re 3.64
Au (0.5000, 0.5000, 0.5000)  4 Re 4.85, 8 Zn 5.00
Zn (0.5000, 0.0000, 0.0000)  2 Cs 3.43
Zn (0.0000, 0.0000, 0.5000)  2 Cs 3.43
Re (0.0000, 0.5000, 0.0000)  2 Cs 3.64

---

Number 1: V 22.65 A^3/atom, DOS at the Fermi energy 0.207 states/eV/atom. Number 2: V 27.96 A^3/atom, DOS at the Fermi energy 1.005 states/eV/atom. Number 3: V 20.55 A^3/atom, DOS at the Fermi energy 0.508 states/eV/atom. Number 4: V 20.17 A^3/atom, DOS at the Fermi energy 1.201 states/eV/atom. Number 5: V 16.70 A^3/atom, DOS at the Fermi energy 0.602 states/eV/atom. Number 6: V 17.44 A^3/atom, DOS at the Fermi energy 0.432 states/eV/atom. Number 7: V 17.34 A^3/atom, DOS at the Fermi energy 0.268 states/eV/atom. Number 8: V 50.12 A^3/atom, DOS at the Fermi energy 1.064 states/eV/atom. Number 9: V 43.93 A^3/atom, DOS at the Fermi energy 1.367 states/eV/atom. Number 10: V 34.27 A^3/atom, DOS at the Fermi energy 1.531 states/eV/atom. Number 11: V 31.26 A^3/atom, DOS at the Fermi energy 0.823 states/eV/atom. Number 12: V 68.47 A^3/atom, DOS at the Fermi energy 0.000 states/eV/atom.